Here is crystalline Li3Ti2FeO6 at its relaxed geometry from Alexandria via LeMat-Bulk. Energies are from GGA+U.

```
data_Li3Ti2FeO6
_space_group_name_H-M_alt 'C 1 2/m 1'
_space_group_IT_number 12
_cell_length_a 13.156
_cell_length_b 2.947
_cell_length_c 6.048
_cell_angle_alpha 90.00
_cell_angle_beta 103.72
_cell_angle_gamma 90.00
loop_
_space_group_symop_operation_xyz
'x,y,z'
'-x,-y,-z'
'-x,y,-z'
'x,-y,z'
'x+1/2,y+1/2,z'
'-x+1/2,-y+1/2,-z'
'-x+1/2,y+1/2,-z'
'x+1/2,-y+1/2,z'
loop_
_atom_site_label
_atom_site_fract_x
_atom_site_fract_y
_atom_site_fract_z
Li1 0.000 0.000 0.000
Li2 0.167 0.500 0.338
Ti1 0.162 0.500 0.828
Fe1 0.000 0.000 0.500
O1 0.011 0.500 0.759
O2 0.170 0.000 0.602
O3 0.175 0.000 0.071
```

Properties
N(E_F)   3.20 states/eV/f.u.
Calculated total energy   -171.31 eV for the cell shown
Mass density   3.9 Mg/m³